Record 1
GeP after structural relaxation. Source: Alexandria via LeMat-Bulk, functional PBE-GGA.

Cell and atoms, written as POSCAR:
```
GeP
1.0
-5.3562 5.3562 1.8608
5.3562 -5.3562 1.8608
5.3562 5.3562 -1.8608
Ge P
4 4
Direct
0.1325 0.6966 0.8291
0.3034 0.1325 0.4359
0.6966 0.8675 0.5641
0.8675 0.3034 0.1709
0.0970 0.2642 0.3611
0.2642 0.9030 0.1672
0.7358 0.0970 0.8328
0.9030 0.7358 0.6389
```

Properties
VASP energy = -37.9 eV per cell
Volume = 53 Å³/f.u.
E_form = 26.5 kJ/mol of atoms
SG = No. 87


Record 2
GdAlCu after structural relaxation. Source: Alexandria via LeMat-Bulk, functional PBE-GGA.

Cell and atoms, written as POSCAR:
```
GdAlCu
1.0
7.0801 0.0000 0.0000
-3.5401 6.1315 0.0000
0.0000 0.0000 4.0662
Gd Al Cu
3 3 3
Direct
0.0000 0.5845 0.0000
0.4155 0.4155 0.0000
0.5845 0.0000 0.0000
0.0000 0.2339 0.5000
0.2339 0.0000 0.5000
0.7661 0.7661 0.5000
0.0000 0.0000 0.0000
0.3333 0.6667 0.5000
0.6667 0.3333 0.5000
```

Properties
VASP energy = -69.7 eV per cell
Volume = 59 Å³/f.u.
E_form = -41.8 kJ/mol of atoms
SG = No. 189


M_tot: 0.000, 2.451 (μB/atom)